Entry 1:
# Tb3Sm6ErTm2

An optimized crystal structure of Tb3Sm6ErTm2 (PBE, Alexandria).

a = 6.2067 Å, b = 10.7458 Å, c = 11.7914 Å
α = 90.00°, β = 100.06°, γ = 90.00°
Space group C2/m (No. 12)
Inequivalent atoms, fractional coordinates:
Tb (0.0000, 0.0000, 0.0000)
Tb (0.0000, 0.3333, 0.0000)
Sm (0.2497, 0.0000, 0.7481)
Sm (0.2501, 0.1668, 0.2519)
Er (0.0000, 0.5000, 0.5000)
Tm (0.0000, 0.1667, 0.5000)

## Properties
Energy of formation from the pure elements, eV per atom: 0.015
Density of states at the Fermi level, states/eV per atom: 1.1847
Raw total energy, eV/cell: -111.061
V, Å³ per cell: 774.3

Entry 2:
# Mn2CrGa

An optimized crystal structure of Mn2CrGa (PBE, Alexandria).

a = 3.8532 Å, b = 3.8532 Å, c = 3.3829 Å
α = 90.00°, β = 90.00°, γ = 90.00°
Space group P4/mmm (No. 123)
Inequivalent atoms, fractional coordinates:
Mn (0.0000, 0.5000, 0.0000)
Cr (0.0000, 0.0000, 0.5000)
Ga (0.5000, 0.5000, 0.5000)

## Properties
Energy of formation from the pure elements, eV per atom: -0.024
Density of states at the Fermi level, states/eV per atom: 0.8441
Raw total energy, eV/cell: -31.085
V, Å³ per cell: 50.2